Entry 1:
## Li8LaZn4 (GGA-PBE)

Data for Li8LaZn4 after structural relaxation.

abc: 5.286 7.201 7.201
angles: 82.26 68.47 68.47
Atoms (fractional coordinates):
Li  0.000  0.350  0.650
Li  0.000  0.650  0.350
Li  0.350  0.650  0.650
Li  0.650  0.350  0.350
Li  0.500  0.773  0.227
Li  0.500  0.227  0.773
Li  0.273  0.227  0.227
Li  0.727  0.773  0.773
La  0.000  0.000  0.000
Zn  0.000  0.000  0.500
Zn  0.500  0.000  0.500
Zn  0.000  0.500  0.000
Zn  0.500  0.500  0.000

Properties
* VASP energy: -27.0 eV per cell
* DFT formation energy: -126.9 meV/atom
* total magnetization: 0.00 μB per cell

Entry 2:
## K2BaSr (GGA-PBE)

Data for K2BaSr after structural relaxation.

abc: 4.449 4.449 15.375
angles: 81.68 81.68 60.00
Atoms (fractional coordinates):
K  0.838  0.838  0.486
K  0.416  0.416  0.751
Ba  0.256  0.256  0.231
Sr  0.000  0.000  0.999

Properties
* VASP energy: -5.6 eV per cell
* DFT formation energy: 45.5 meV/atom
* total magnetization: 0.00 μB per cell

Entry 3:
## Nd3Cu8Hg (GGA-PBE)

Data for Nd3Cu8Hg after structural relaxation.

abc: 5.281 5.281 9.189
angles: 73.30 73.30 60.00
Atoms (fractional coordinates):
Nd  0.379  0.379  0.863
Nd  0.994  0.994  0.019
Nd  0.505  0.505  0.484
Cu  0.945  0.433  0.189
Cu  0.438  0.938  0.686
Cu  0.433  0.433  0.189
Cu  0.938  0.938  0.686
Cu  0.189  0.189  0.434
Cu  0.686  0.686  0.941
Cu  0.433  0.945  0.189
Cu  0.938  0.438  0.686
Hg  0.871  0.871  0.386

Properties
* VASP energy: -49.0 eV per cell
* DFT formation energy: -133.7 meV/atom
* total magnetization: 0.00 μB per cell